--- 1 ---
# Be2Fe2Mo, relaxed, DFT PBE
# - M_tot (μB/atom) = 0.482
data_Be2Fe2Mo
_chemical_formula_sum 'Be4 Fe4 Mo2'
_cell_length_a 6.262
_cell_length_b 6.262
_cell_length_c 2.680
_cell_angle_alpha 90.00
_cell_angle_beta 90.00
_cell_angle_gamma 90.00
_symmetry_space_group_name_H-M 'P 1'
_symmetry_Int_Tables_number 1
loop_
_symmetry_equiv_pos_as_xyz
'x,y,z'
loop_
_atom_site_label
_atom_site_fract_x
_atom_site_fract_y
_atom_site_fract_z
_atom_site_occupancy
Be1 0.380 0.880 0.000 1
Be2 0.880 0.620 0.000 1
Be3 0.620 0.120 0.000 1
Be4 0.120 0.380 0.000 1
Mo1 0.000 0.000 0.000 1
Mo2 0.500 0.500 0.000 1
Fe1 0.172 0.672 0.500 1
Fe2 0.672 0.828 0.500 1
Fe3 0.828 0.328 0.500 1
Fe4 0.328 0.172 0.500 1

***

--- 2 ---
# Be2Fe2Mo, relaxed, DFT PBE
# - M_tot (μB/atom) = 0.097
data_Be2Fe2Mo
_chemical_formula_sum 'Be4 Fe4 Mo2'
_cell_length_a 6.306
_cell_length_b 6.306
_cell_length_c 2.681
_cell_angle_alpha 90.00
_cell_angle_beta 90.00
_cell_angle_gamma 90.00
_symmetry_space_group_name_H-M 'P 1'
_symmetry_Int_Tables_number 1
loop_
_symmetry_equiv_pos_as_xyz
'x,y,z'
loop_
_atom_site_label
_atom_site_fract_x
_atom_site_fract_y
_atom_site_fract_z
_atom_site_occupancy
Be1 0.152 0.652 0.500 1
Be2 0.652 0.848 0.500 1
Be3 0.848 0.348 0.500 1
Be4 0.348 0.152 0.500 1
Mo1 0.000 0.000 0.000 1
Mo2 0.500 0.500 0.000 1
Fe1 0.358 0.858 0.000 1
Fe2 0.858 0.642 0.000 1
Fe3 0.642 0.142 0.000 1
Fe4 0.142 0.358 0.000 1

***

Least stable: 2

***

--- 1 ---
# Be2FeMo, relaxed, DFT PBE
# - M_tot (μB/atom) = 0.654
data_Be2FeMo
_chemical_formula_sum 'Be2 Fe1 Mo1'
_cell_length_a 4.091
_cell_length_b 4.091
_cell_length_c 4.091
_cell_angle_alpha 125.61
_cell_angle_beta 125.61
_cell_angle_gamma 80.53
_symmetry_space_group_name_H-M 'P 1'
_symmetry_Int_Tables_number 1
loop_
_symmetry_equiv_pos_as_xyz
'x,y,z'
loop_
_atom_site_label
_atom_site_fract_x
_atom_site_fract_y
_atom_site_fract_z
_atom_site_occupancy
Be1 0.000 0.000 0.000 1
Be2 0.500 0.500 0.000 1
Mo1 0.750 0.250 0.500 1
Fe1 0.250 0.750 0.500 1

***

--- 2 ---
# Be2FeMo, relaxed, DFT PBE
# - M_tot (μB/atom) = 0.000
data_Be2FeMo
_chemical_formula_sum 'Be2 Fe1 Mo1'
_cell_length_a 3.929
_cell_length_b 3.929
_cell_length_c 3.926
_cell_angle_alpha 60.02
_cell_angle_beta 60.02
_cell_angle_gamma 59.96
_symmetry_space_group_name_H-M 'P 1'
_symmetry_Int_Tables_number 1
loop_
_symmetry_equiv_pos_as_xyz
'x,y,z'
loop_
_atom_site_label
_atom_site_fract_x
_atom_site_fract_y
_atom_site_fract_z
_atom_site_occupancy
Be1 0.000 0.000 0.000 1
Be2 0.750 0.750 0.750 1
Mo1 0.250 0.250 0.250 1
Fe1 0.500 0.500 0.500 1

***

--- 3 ---
# Be2FeMo, relaxed, DFT PBE
# - M_tot (μB/atom) = 0.673
data_Be2FeMo
_chemical_formula_sum 'Be2 Fe1 Mo1'
_cell_length_a 3.634
_cell_length_b 3.637
_cell_length_c 3.369
_cell_angle_alpha 90.00
_cell_angle_beta 90.00
_cell_angle_gamma 90.00
_symmetry_space_group_name_H-M 'P 1'
_symmetry_Int_Tables_number 1
loop_
_symmetry_equiv_pos_as_xyz
'x,y,z'
loop_
_atom_site_label
_atom_site_fract_x
_atom_site_fract_y
_atom_site_fract_z
_atom_site_occupancy
Be1 0.000 0.000 0.000 1
Be2 0.500 0.500 0.000 1
Mo1 0.000 0.500 0.500 1
Fe1 0.500 0.000 0.500 1

***

--- 4 ---
# Be2FeMo, relaxed, DFT PBE
# - M_tot (μB/atom) = 0.334
data_Be2FeMo
_chemical_formula_sum 'Be2 Fe1 Mo1'
_cell_length_a 2.612
_cell_length_b 2.612
_cell_length_c 6.285
_cell_angle_alpha 90.00
_cell_angle_beta 90.00
_cell_angle_gamma 89.99
_symmetry_space_group_name_H-M 'P 1'
_symmetry_Int_Tables_number 1
loop_
_symmetry_equiv_pos_as_xyz
'x,y,z'
loop_
_atom_site_label
_atom_site_fract_x
_atom_site_fract_y
_atom_site_fract_z
_atom_site_occupancy
Be1 0.000 0.000 0.048 1
Be2 0.500 0.500 0.236 1
Mo1 0.500 0.500 0.767 1
Fe1 0.000 0.000 0.450 1

***

Least stable: 1